An optimized crystal structure of Ni4SbPt2. Source: the Alexandria database, functional PBE.

ΔE_f (raw) = 0.24 eV per atom
Crystal system = tetragonal

Lattice parameters (Å, degrees): 4.746 4.746 9.403 90.00 90.00 90.00
Space group I4/mmm (No. 139)
Symmetry-distinct sites (fractional):
Ni  0.000  0.500  0.000 x4
Ni  0.000  0.500  0.250 x4
Sb  0.000  0.000  0.000 x2
Pt  0.000  0.000  0.354 x4



An optimized crystal structure of YLuMnCo. Source: the Alexandria database, functional PBE.

Crystal system = cubic
Formation enthalpy at 0 K = 41 meV per atom

Lattice parameters (Å, degrees): 6.845 6.845 6.845 90.00 90.00 90.00
Space group F-43m (No. 216)
Symmetry-distinct sites (fractional):
Y  0.000  0.000  0.000 x4
Lu  0.000  0.000  0.500 x4
Mn  0.250  0.250  0.750 x4
Co  0.250  0.250  0.250 x4



no.,V (Å³/f.u.)
1,106
2,80